Entry 1:
The following is a PBE-GGA calculation of an optimized crystal structure of ErTcO4F, from the Alexandria database.

Cell and atoms, written as POSCAR:
```
ErTcO4F
1.0
4.768 -3.552 0.000
4.768 3.552 0.000
-1.928 0.000 6.643
Er Tc O F
2 2 8 2
Cartesian
1.728 0.000 0.589 Er
5.881 0.000 6.053 Er
2.006 0.000 4.689 Tc
5.603 0.000 1.953 Tc
1.139 1.305 5.643 O
1.519 0.000 3.018 O
3.903 0.000 1.545 O
1.139 -1.305 5.643 O
6.470 1.305 1.000 O
3.706 0.000 5.097 O
6.090 0.000 3.625 O
6.470 -1.305 1.000 O
-1.502 0.000 5.488 F
9.111 0.000 1.155 F
```

Properties
VASP energy in eV/atom: -7.643
Space-group type: C2/m (12)

***

Entry 2:
The following is a PBE-GGA calculation of an optimized crystal structure of TbLu2Ni, from the Alexandria database.

Cell and atoms, written as POSCAR:
```
TbLu2Ni
1.0
3.369 0.000 0.000
0.000 3.369 0.000
0.000 0.000 8.549
Tb Lu Ni
1 2 1
Cartesian
0.000 0.000 0.000 Tb
1.685 1.685 2.691 Lu
1.685 1.685 5.859 Lu
0.000 0.000 4.275 Ni
```

Properties
VASP energy in eV/atom: -5.081
Energy of formation from the pure elements in eV per atom: -0.22
Space-group type: P4/mmm (123)

***

Fermi-level density of states for every record listed, in sequence, given in states/eV/atom: 0.4344; 0.9789.